The following is a GGA-PBE calculation of an optimized crystal structure of MnB4, from Alexandria.

Unit cell a=3.722 b=6.782 c=6.933 alpha=90.00 beta=119.11 gamma=90.00
Space group P2_1/c (No. 14)
Inequivalent atoms, fractional coordinates:
Mn 0.244 0.184 0.248 (multiplicity 4)
B 0.089 0.691 0.089 (multiplicity 4)
B 0.124 0.080 0.945 (multiplicity 4)
B 0.323 0.029 0.551 (multiplicity 4)
B 0.363 0.522 0.320 (multiplicity 4)

Results
Energy relative to the elements = 89.7 meV/atom

=====

The following is a GGA-PBE calculation of an optimized crystal structure of TbPaP2, from Alexandria.

Unit cell a=3.9923 b=3.9923 c=19.5393 alpha=90.00 beta=90.00 gamma=120.00
Space group R-3m (No. 166, hexagonal axes)
Inequivalent atoms, fractional coordinates:
Tb 0.0000 0.0000 0.0000 (multiplicity 3)
Pa 0.0000 0.0000 0.5000 (multiplicity 3)
P 0.0000 0.0000 0.2481 (multiplicity 6)

Results
Energy relative to the elements = -1459.4 meV/atom

=====

The following is a GGA-PBE calculation of an optimized crystal structure of Te2AsAuI, from Alexandria.

Unit cell a=5.483 b=5.483 c=5.402 alpha=90.00 beta=90.00 gamma=90.00
Space group P4/mmm (No. 123)
Inequivalent atoms, fractional coordinates:
Te 0.000 0.500 0.000 (multiplicity 2)
As 0.000 0.000 0.500 (multiplicity 1)
Au 0.500 0.500 0.000 (multiplicity 1)
I 0.500 0.500 0.500 (multiplicity 1)

Results
E_form (uncorrected) = 0.72 eV per atom

=====

The following is a GGA-PBE calculation of an optimized crystal structure of CuI, from Alexandria.

Unit cell a=11.339 b=11.339 c=4.302 alpha=90.00 beta=90.00 gamma=90.00
Space group I4/m (No. 87)
Inequivalent atoms, fractional coordinates:
Cu 0.200 0.277 0.000 (multiplicity 8)
I 0.073 0.273 0.500 (multiplicity 8)

Results
E_form (uncorrected) = -0.10 eV per atom

=====

The following is a GGA-PBE calculation of an optimized crystal structure of Ti3Zn2Rh3, from Alexandria.

Unit cell a=4.012 b=4.151 c=7.068 alpha=90.00 beta=90.00 gamma=90.00
Space group Pmmm (No. 47)
Inequivalent atoms, fractional coordinates:
Ti 0.000 0.000 0.000 (multiplicity 1)
Ti 0.000 0.500 0.262 (multiplicity 2)
Zn 0.500 0.000 0.260 (multiplicity 2)
Rh 0.000 0.000 0.500 (multiplicity 1)
Rh 0.500 0.500 0.000 (multiplicity 1)
Rh 0.500 0.500 0.500 (multiplicity 1)

Results
Energy relative to the elements = -526.7 meV/atom

=====

The following is a GGA-PBE calculation of an optimized crystal structure of Sr2GeAs, from Alexandria.

Unit cell a=7.698 b=7.698 c=7.698 alpha=90.00 beta=90.00 gamma=90.00
Space group Fm-3m (No. 225)
Inequivalent atoms, fractional coordinates:
Sr 0.250 0.250 0.250 (multiplicity 8)
Ge 0.000 0.000 0.000 (multiplicity 4)
As 0.000 0.000 0.500 (multiplicity 4)

Results
Energy relative to the elements = -585.6 meV/atom

=====

The following is a GGA-PBE calculation of an optimized crystal structure of Th2Co4AsP3, from Alexandria.

Unit cell a=4.070 b=4.070 c=9.171 alpha=90.00 beta=90.00 gamma=90.00
Space group P-4m2 (No. 115)
Inequivalent atoms, fractional coordinates:
Th 0.000 0.500 0.246 (multiplicity 2)
Co 0.000 0.000 0.000 (multiplicity 1)
Co 0.000 0.500 0.618 (multiplicity 2)
Co 0.500 0.500 0.000 (multiplicity 1)
As 0.000 0.000 0.500 (multiplicity 1)
P 0.000 0.500 0.870 (multiplicity 2)
P 0.500 0.500 0.500 (multiplicity 1)

Results
Energy relative to the elements = -973.4 meV/atom

=====

The following is a GGA-PBE calculation of an optimized crystal structure of Li2VCoOs, from Alexandria.

Unit cell a=4.431 b=4.431 c=4.339 alpha=90.00 beta=90.00 gamma=90.00
Space group P4/mmm (No. 123)
Inequivalent atoms, fractional coordinates:
Li 0.000 0.500 0.000 (multiplicity 2)
V 0.000 0.000 0.000 (multiplicity 1)
Co 0.500 0.500 0.500 (multiplicity 1)
Os 0.000 0.000 0.500 (multiplicity 1)

Results
Energy relative to the elements = 1504.3 meV/atom

=====

Total energy: -7.0862 -7.6959 -2.4362 -2.9246 -6.5626 -3.7432 -7.3876 -4.7521 (eV per atom)